Computed, not measured: a geometry-optimized KCr3 structure at the GGA-PBE level of DFT.

- Energy above the lowest structure with this stoichiometry: 236 meV per atom
- Calculated formation energy: 1.030 eV/atom

Lattice parameters (Å, degrees): 4.595 4.595 7.014 87.89 87.89 36.31
Site moments in Bohr magnetons follow the coordinates.
Atoms (fractional coordinates):
Cr 0.500 0.500 0.500  2.23
Cr 0.763 0.763 0.609  -0.34
Cr 0.237 0.237 0.391  -0.34
K 0.000 0.000 0.000  -0.02